Compound: Ta2AlTc
Source: Alexandria
Functional: GGA-PBE
Structure: relaxed

Unit cell a=8.842 b=8.842 c=8.842 alpha=19.68 beta=19.68 gamma=19.68
Positions (direct):
Al 0.756 0.756 0.756
Tc 0.500 0.500 0.500
Ta 0.000 0.000 0.000
Ta 0.244 0.244 0.244

Properties
V: 68.6 Å³/cell
Mass density: 11.79 Mg/m³
Energy relative to the elements: 0.01 eV per atom



Compound: TaAlTc2
Source: Alexandria
Functional: GGA-PBE
Structure: relaxed

Unit cell a=5.881 b=5.881 c=5.881 alpha=54.35 beta=153.20 gamma=133.65
Positions (direct):
Al 0.000 0.000 0.000
Tc 0.000 0.223 0.223
Tc 0.000 0.777 0.777
Ta 0.000 0.500 0.500

Properties
V: 66.0 Å³/cell
Mass density: 10.16 Mg/m³
Energy relative to the elements: 0.56 eV per atom



Compound: Ta2AlTc
Source: Alexandria
Functional: GGA-PBE
Structure: relaxed

Unit cell a=3.436 b=4.366 c=4.375 alpha=90.00 beta=90.00 gamma=90.00
Positions (direct):
Al 0.000 0.500 0.500
Tc 0.500 0.000 0.500
Ta 0.000 0.000 0.000
Ta 0.500 0.500 0.000

Properties
V: 65.6 Å³/cell
Mass density: 12.32 Mg/m³
Energy relative to the elements: -0.20 eV per atom



Compound: Ta2AlTc
Source: Alexandria
Functional: GGA-PBE
Structure: relaxed

Unit cell a=4.487 b=2.842 c=5.316 alpha=78.70 beta=90.00 gamma=90.00
Positions (direct):
Al 0.500 0.661 0.751
Tc 0.000 0.524 0.488
Ta 0.000 0.019 0.989
Ta 0.500 0.295 0.272

Properties
V: 66.5 Å³/cell
Mass density: 12.16 Mg/m³
Energy relative to the elements: -0.20 eV per atom



Compound: Ta2Al2Tc
Source: Alexandria
Functional: GGA-PBE
Structure: relaxed

Unit cell a=3.758 b=3.758 c=6.822 alpha=74.01 beta=74.01 gamma=90.00
Last column: magnetic moment on the atom in μB.
Positions (direct):
Al 0.407 0.407 0.186  -0.01
Al 0.593 0.593 0.814  -0.01
Tc 0.000 0.000 0.000  0.84
Ta 0.750 0.250 0.500  -0.03
Ta 0.250 0.750 0.500  -0.03

Properties
V: 88.7 Å³/cell
Mass density: 9.62 Mg/m³
Polymorph energy (0 for the lowest one): 564 meV per atom
Energy relative to the elements: 0.43 eV per atom



Compound: Ta2AlTc
Source: Alexandria
Functional: GGA-PBE
Structure: relaxed

Unit cell a=5.217 b=5.217 c=5.217 alpha=136.60 beta=136.60 gamma=63.06
Positions (direct):
Al 0.750 0.250 0.500
Tc 0.500 0.500 0.000
Ta 0.000 0.000 0.000
Ta 0.250 0.750 0.500

Properties
V: 66.2 Å³/cell
Mass density: 12.21 Mg/m³
Energy relative to the elements: -0.14 eV per atom



One value per record, in order, for M_tot: 0.000, 0.000, 0.000, 0.000, 0.727, 0.000 μB/cell.